1.
First-principles (PBE) data for PdPbI2O after structural relaxation, as listed in Alexandria via LeMat-Bulk.

a b c (Å): 5.635 5.635 3.959
angles (deg): 90.00 90.00 90.00
Space group P4/mmm (No. 123)
Symmetry-distinct sites (fractional):
Pd: 0.000 0.000 0.000 x1
Pb: 0.500 0.500 0.500 x1
I: 0.000 0.500 0.000 x2
O: 0.000 0.000 0.500 x1

- magnetization (μB/cell) = 0.663
- energy relative to the elements, uncorrected (eV/atom) = -0.149
- Fermi-level density of states (states/eV/cell) = 2.08

***

2.
First-principles (PBE) data for Li2DyMg after structural relaxation, as listed in Alexandria via LeMat-Bulk.

a b c (Å): 3.2848 3.2848 31.2043
angles (deg): 90.00 90.00 120.00
Space group R3m (No. 160, hexagonal axes)
Symmetry-distinct sites (fractional):
Li: 0.0000 0.0000 0.0000 x3
Li: 0.0000 0.0000 0.1767 x3
Dy: 0.0000 0.0000 0.4214 x3
Mg: 0.0000 0.0000 0.5886 x3

- magnetization (μB/cell) = 0.000
- formation enthalpy at 0 K (eV per atom) = 0.100
- Fermi-level density of states (states/eV/cell) = 8.95

***

3.
First-principles (PBE) data for TcTeCl2 after structural relaxation, as listed in Alexandria via LeMat-Bulk.

a b c (Å): 5.949 9.135 4.328
angles (deg): 90.00 133.26 90.00
Space group C2/m (No. 12)
Symmetry-distinct sites (fractional):
Tc: 0.000 0.000 0.000 x2
Te: 0.000 0.500 0.000 x2
Cl: 0.250 0.250 0.500 x4

- magnetization (μB/cell) = 4.726
- energy relative to the elements, uncorrected (eV/atom) = 0.474
- Fermi-level density of states (states/eV/cell) = 5.52